(1)
Below is a relaxed Sc2ReP crystal, with properties calculated at the PBE level.

```
data_Sc2ReP
_chemical_formula_sum 'Sc6 Re3 P3'
_symmetry_space_group_name_H-M 'R 3 m'
_symmetry_Int_Tables_number 160
_symmetry_space_group_name_Hall 'R 3 -2"'
_cell_length_a 3.3464
_cell_length_b 3.3464
_cell_length_c 24.0954
_cell_angle_alpha 90.00
_cell_angle_beta 90.00
_cell_angle_gamma 120.00
loop_
_atom_site_label
_atom_site_type_symbol
_atom_site_fract_x
_atom_site_fract_y
_atom_site_fract_z
Sc1 Sc 0.0000 0.0000 0.0000
Sc2 Sc 0.0000 0.0000 0.2184
Re1 Re 0.0000 0.0000 0.4584
P1 P 0.0000 0.0000 0.7377
```

Properties
- V (Å³/atom) = 19.5
- uncorrected energy (eV per atom) = -7.852
- D(E_F) (states/eV/atom) = 0.958
- E_form (eV/atom) = -0.2213

(2)
Below is a relaxed Li3Pr2Si2 crystal, with properties calculated at the PBE level.

```
data_Li3Pr2Si2
_chemical_formula_sum 'Li6 Pr4 Si4'
_symmetry_space_group_name_H-M 'C 1 2/m 1'
_symmetry_Int_Tables_number 12
_cell_length_a 10.257
_cell_length_b 4.677
_cell_length_c 6.331
_cell_angle_alpha 90.00
_cell_angle_beta 101.63
_cell_angle_gamma 90.00
loop_
_symmetry_equiv_pos_as_xyz
'x,y,z'
'-x,-y,-z'
'-x,y,-z'
'x,-y,z'
'x+1/2,y+1/2,z'
'-x+1/2,-y+1/2,-z'
'-x+1/2,y+1/2,-z'
'x+1/2,-y+1/2,z'
loop_
_atom_site_label
_atom_site_type_symbol
_atom_site_fract_x
_atom_site_fract_y
_atom_site_fract_z
Li1 Li 0.000 0.000 0.000
Li2 Li 0.117 0.000 0.431
Pr1 Pr 0.147 0.500 0.768
Si1 Si 0.155 0.500 0.256
```

Properties
- V (Å³/atom) = 21.2
- uncorrected energy (eV per atom) = -4.115
- D(E_F) (states/eV/atom) = 0.434

Question: Among the records above, which one has the highest D(E_F)?
Answer: Sc2ReP

Question: Look up the V of the first one.
Answer: 19.5 Å³/atom

Question: Number 2 is which compound?
Answer: Li3Pr2Si2